# 1
# CePu2Sc

A relaxed CePu2Sc crystal (PBE-GGA, the Alexandria database).

```
4
Lattice="-4.299 -0.961 2.927 0.458 -2.540 4.616 -0.745 2.609 4.539" Properties=species:S:1:pos:R:3 pbc="T T T"
Sc -2.293 -0.446 6.041
Ce 0.000 0.000 0.000
Pu -1.146 -0.223 3.021
Pu -3.439 -0.668 9.062
```

Results
- E above lowest polymorph (eV per atom) = 0.037


# 2
# Ce2PuSc

A relaxed Ce2PuSc crystal (PBE-GGA, the Alexandria database).

```
4
Lattice="4.545 0.000 0.000 0.000 4.802 0.000 0.000 0.000 4.802" Properties=species:S:1:pos:R:3 pbc="T T T"
Sc 2.273 2.401 2.401
Ce 0.000 0.000 2.401
Ce 0.000 2.401 0.000
Pu 2.273 0.000 0.000
```

Results
- E above lowest polymorph (eV per atom) = 0.000


# 3
# Ce6PuSc2

A relaxed Ce6PuSc2 crystal (PBE-GGA, the Alexandria database).

```
9
Lattice="5.821 0.161 0.338 0.354 6.033 3.636 0.320 0.144 7.044" Properties=species:S:1:pos:R:3 pbc="T T T"
Ce 1.861 2.112 7.045
Ce 1.901 5.073 8.785
Ce 1.878 5.040 5.351
Ce 4.635 4.226 3.973
Ce 4.594 1.265 2.232
Ce 4.617 1.298 5.667
Pu 0.000 0.000 0.000
Sc 4.860 4.230 7.358
Sc 1.636 2.108 3.660
```


# 4
# CePuSc4

A relaxed CePuSc4 crystal (PBE-GGA, the Alexandria database).

```
12
Lattice="-2.686 4.531 -0.359 1.100 1.130 6.059 8.282 4.971 0.804" Properties=species:S:1:pos:R:3 pbc="T T T"
Ce 5.682 5.005 1.269
Ce 1.015 5.628 5.235
Pu 0.466 5.064 2.205
Pu 6.231 5.569 4.300
Sc 5.896 8.296 2.249
Sc 6.451 8.839 5.251
Sc 3.871 7.385 6.000
Sc 2.826 3.248 0.504
Sc 3.370 3.818 3.522
Sc 0.246 1.794 1.253
Sc 3.326 6.815 2.982
Sc 0.800 2.337 4.256
```

Results
- E above lowest polymorph (eV per atom) = 0.000


# 5
# CePu2Sc

A relaxed CePu2Sc crystal (PBE-GGA, the Alexandria database).

```
4
Lattice="3.266 0.000 0.000 0.000 3.266 0.000 0.000 0.000 9.221" Properties=species:S:1:pos:R:3 pbc="T T T"
Sc 1.633 1.633 0.000
Ce 1.633 1.633 4.610
Pu 0.000 0.000 6.829
Pu 0.000 0.000 2.392
```

Results
- E above lowest polymorph (eV per atom) = 0.000


# 6
# CePuSc

A relaxed CePuSc crystal (PBE-GGA, the Alexandria database).

```
6
Lattice="5.027 0.000 0.000 0.000 3.320 0.000 -2.513 0.000 8.591" Properties=species:S:1:pos:R:3 pbc="T T T"
Pu 2.513 0.830 0.815
Pu 0.000 2.490 7.775
Ce 2.513 0.830 6.991
Ce 0.000 2.490 1.599
Sc 0.000 0.830 4.817
Sc 2.513 2.490 3.774
```

Results
- E above lowest polymorph (eV per atom) = 0.058


# 7
# Ce2PuSc6

A relaxed Ce2PuSc6 crystal (PBE-GGA, the Alexandria database).

```
18
Lattice="-3.158 1.835 -3.708 -6.611 -6.729 5.947 -5.804 1.610 9.385" Properties=species:S:1:pos:R:3 pbc="T T T"
Ce -5.411 -1.562 2.007
Ce -11.948 -2.939 6.883
Ce -10.162 -1.722 9.617
Ce -3.625 -0.345 4.741
Pu -7.322 -5.456 5.356
Pu -8.251 2.171 6.268
Sc -7.264 -0.139 4.291
Sc -9.736 -0.656 6.128
Sc -8.309 -3.146 7.333
Sc -5.837 -2.628 5.497
Sc -5.529 0.660 6.860
Sc -7.980 0.146 8.684
Sc -10.044 -3.945 4.765
Sc -7.593 -3.430 2.941
Sc -5.181 -0.211 -1.176
Sc -12.168 -4.187 10.109
Sc -10.392 -3.073 12.800
Sc -3.405 0.902 1.515
```


# 8
# CePuSc

A relaxed CePuSc crystal (PBE-GGA, the Alexandria database).

```
6
Lattice="-1.180 -2.762 -1.490 -0.907 -2.532 1.844 -15.265 4.792 -1.094" Properties=species:S:1:pos:R:3 pbc="T T T"
Ce -7.124 -0.324 0.554
Ce -5.499 -3.471 -0.032
Pu -2.232 -2.434 0.195
Pu -10.390 -1.361 0.329
Sc -12.652 0.391 -1.243
Sc -14.328 3.139 -1.170
```

Results
- E above lowest polymorph (eV per atom) = 0.012


# 9
# CePuSc

A relaxed CePuSc crystal (PBE-GGA, the Alexandria database).

```
3
Lattice="-1.620 2.874 -0.437 0.282 -1.304 3.049 6.882 4.046 1.092" Properties=species:S:1:pos:R:3 pbc="T T T"
Sc 1.322 2.839 1.091
Ce 6.843 4.023 1.086
Pu 4.261 2.801 2.619
```

Results
- E above lowest polymorph (eV per atom) = 0.020


# 10
# Ce2Pu2Sc7

A relaxed Ce2Pu2Sc7 crystal (PBE-GGA, the Alexandria database).

```
11
Lattice="6.435 -0.266 -0.385 -1.380 6.793 0.585 -1.380 -1.838 6.566" Properties=species:S:1:pos:R:3 pbc="T T T"
Ce -0.610 1.870 2.699
Ce 4.285 2.818 4.067
Pu 1.838 -0.743 5.523
Pu 1.838 5.432 1.243
Sc -0.539 5.456 3.267
Sc 4.214 3.546 0.510
Sc 4.214 -0.767 3.499
Sc -0.539 1.143 6.256
Sc 0.000 0.000 0.000
Sc 1.249 3.277 4.729
Sc 2.426 1.412 2.037
```

Results
- E above lowest polymorph (eV per atom) = 0.000


# 11
# Ce2PuSc

A relaxed Ce2PuSc crystal (PBE-GGA, the Alexandria database).

```
4
Lattice="4.923 1.632 -0.319 -1.013 3.090 0.198 -0.037 1.320 6.174" Properties=species:S:1:pos:R:3 pbc="T T T"
Ce 2.306 3.263 1.368
Ce -0.511 3.917 3.602
Pu 2.048 4.692 4.730
Sc 0.251 0.951 0.149
```

Results
- E above lowest polymorph (eV per atom) = 0.003


# 12
# Ce2PuSc

A relaxed Ce2PuSc crystal (PBE-GGA, the Alexandria database).

```
4
Lattice="-0.158 -1.391 -3.022 3.308 0.260 -0.293 1.007 -8.475 3.848" Properties=species:S:1:pos:R:3 pbc="T T T"
Sc 1.575 -0.565 -1.658
Ce 0.746 -6.282 2.852
Ce 0.261 -2.193 0.996
Pu 2.078 -4.803 0.266
```

Results
- E above lowest polymorph (eV per atom) = 0.004


# 13
# CePuSc4

A relaxed CePuSc4 crystal (PBE-GGA, the Alexandria database).

```
12
Lattice="-2.158 8.502 -2.389 -1.539 0.996 4.936 5.753 1.859 1.418" Properties=species:S:1:pos:R:3 pbc="T T T"
Ce -1.604 5.051 -0.115
Ce 1.582 2.228 4.256
Pu -1.281 1.246 3.562
Pu 1.286 5.928 0.608
Sc -1.987 4.028 2.780
Sc -2.338 7.944 -0.928
Sc 3.448 3.592 1.754
Sc 1.576 8.333 3.022
Sc 0.848 5.120 3.444
Sc 0.579 8.711 -0.173
Sc -1.277 7.411 2.319
Sc 0.548 2.655 1.039
```

Results
- E above lowest polymorph (eV per atom) = 0.032


The following energy relative to the elements values (in eV/atom) correspond, in order, to the records above: 0.17; 0.10; 0.04; 0.04; 0.13; 0.16; 0.15; 0.12; 0.12; 0.27; 0.10; 0.10; 0.07.
The following calculated volume values (in Å³/f.u.) correspond, in order, to the records above: 104.60; 104.80; 243.48; 151.63; 98.36; 71.69; 232.26; 75.86; 77.30; 287.19; 103.23; 103.87; 148.63.